[1]
KNbAg2Br8 | PBE-GGA | optimized geometry

Properties
**Mass density**: 3.72 Mg/m³
**Space group**: No. 2
**VASP energy**: -3.32 eV/atom
**Size of the total moment**: 0.000 μB/atom
**Crystal system**: triclinic
**ΔE_f (raw)**: -0.802 eV per atom
**V**: 440.05 Å³/cell

Cell: 6.7513 7.7543 9.2557 Å, 66.71 82.92 82.71°
With the nearest neighbours (Å) after each atom.
Fractional positions:
K: 0.0000 0.0000 0.0000  6 Br 3.31-3.50
Nb: 0.0000 0.5000 0.5000  6 Br 2.53-2.59
Ag: 0.4718 0.5228 0.8327  4 Br 2.67-2.85
Ag: 0.5282 0.4772 0.1673  4 Br 2.67-2.85
Br: 0.0830 0.4716 0.7746  1 Nb 2.59, 1 Ag 2.85
Br: 0.1437 0.8168 0.3773  1 Nb 2.53
Br: 0.3429 0.3339 0.4627  1 Nb 2.56, 1 Ag 2.72
Br: 0.4490 0.8077 0.9322  2 Ag 2.67-2.69
Br: 0.5510 0.1923 0.0678  2 Ag 2.67-2.69
Br: 0.6571 0.6661 0.5373  1 Nb 2.56, 1 Ag 2.72
Br: 0.8563 0.1832 0.6227  1 Nb 2.53
Br: 0.9170 0.5284 0.2254  1 Nb 2.59, 1 Ag 2.85

[2]
K2NdAgBr6 | PBE-GGA | optimized geometry

Properties
**Mass density**: 3.89 Mg/m³
**Space group**: No. 14
**VASP energy**: -3.51 eV/atom
**Size of the total moment**: 0.000 μB/atom
**Density of states at the Fermi level**: 0.0 states/eV per cell
**Crystal system**: monoclinic
**Relative energy among the computed polymorphs**: 0.0 meV per atom
**ΔE_f (raw)**: -1.524 eV per atom
**V**: 690.93 Å³/cell

Cell: 7.7222 8.1614 13.3194 Å, 90.00 124.61 90.00°
With the nearest neighbours (Å) after each atom.
Fractional positions:
K: 0.2196 0.0798 0.2470  6 Br 3.35-3.55
K: 0.2196 0.4202 0.7470  6 Br 3.35-3.55
K: 0.7804 0.5798 0.2530  6 Br 3.35-3.55
K: 0.7804 0.9202 0.7530  6 Br 3.35-3.55
Nd: 0.5000 0.0000 0.0000  6 Br 2.90-2.91
Nd: 0.5000 0.5000 0.5000  6 Br 2.90-2.91
Ag: 0.0000 0.0000 0.5000  6 Br 2.85-2.98
Ag: 0.0000 0.5000 0.0000  6 Br 2.85-2.98
Br: 0.1410 0.1936 0.9452  1 Nd 2.90, 1 Ag 2.98
Br: 0.1410 0.3064 0.4452  1 Nd 2.90, 1 Ag 2.98
Br: 0.2563 0.7011 0.9460  1 Nd 2.91, 1 Ag 2.96
Br: 0.2563 0.7989 0.4460  1 Nd 2.91, 1 Ag 2.96
Br: 0.3560 0.0292 0.7462  1 Ag 2.85, 1 Nd 2.91
Br: 0.3560 0.4708 0.2462  1 Ag 2.85, 1 Nd 2.91
Br: 0.6440 0.5292 0.7538  1 Ag 2.85, 1 Nd 2.91
Br: 0.6440 0.9708 0.2538  1 Ag 2.85, 1 Nd 2.91
Br: 0.7437 0.2011 0.5540  1 Nd 2.91, 1 Ag 2.96
Br: 0.7437 0.2989 0.0540  1 Nd 2.91, 1 Ag 2.96
Br: 0.8590 0.6936 0.5548  1 Nd 2.90, 1 Ag 2.98
Br: 0.8590 0.8064 0.0548  1 Nd 2.90, 1 Ag 2.98

[3]
K2NdAgBr6 | PBE-GGA | optimized geometry

Properties
**Mass density**: 3.60 Mg/m³
**Space group**: No. 225
**VASP energy**: -3.46 eV/atom
**Size of the total moment**: 0.000 μB/atom
**Density of states at the Fermi level**: 0.0 states/eV per cell
**Crystal system**: cubic
**Relative energy among the computed polymorphs**: 54.2 meV per atom
**ΔE_f (raw)**: -1.470 eV per atom
**V**: 373.86 Å³/cell

Cell: 8.0861 8.0861 8.0861 Å, 60.00 60.00 60.00°
With the nearest neighbours (Å) after each atom.
Fractional positions:
K: 0.2500 0.2500 0.2500  12 Br 4.04
K: 0.7500 0.7500 0.7500  12 Br 4.04
Nd: 0.0000 0.0000 0.0000  6 Br 2.87
Ag: 0.5000 0.5000 0.5000  6 Br 2.85
Br: 0.2512 0.2512 0.7488  1 Ag 2.85, 1 Nd 2.87
Br: 0.2512 0.7488 0.2512  1 Ag 2.85, 1 Nd 2.87
Br: 0.2512 0.7488 0.7488  1 Ag 2.85, 1 Nd 2.87
Br: 0.7488 0.2512 0.2512  1 Ag 2.85, 1 Nd 2.87
Br: 0.7488 0.2512 0.7488  1 Ag 2.85, 1 Nd 2.87
Br: 0.7488 0.7488 0.2512  1 Ag 2.85, 1 Nd 2.87

[4]
K3Ni2AgBr9 | PBE-GGA | optimized geometry

Properties
**Mass density**: 4.19 Mg/m³
**Space group**: No. 164
**VASP energy**: -3.02 eV/atom
**Size of the total moment**: 0.017 μB/atom
**Density of states at the Fermi level**: 6.1 states/eV per cell
**Crystal system**: trigonal
**ΔE_f (raw)**: -0.837 eV per atom
**V**: 420.53 Å³/cell

Cell: 7.3317 7.3317 9.0335 Å, 90.00 90.00 120.00°
With the nearest neighbours (Å) after each atom.
Fractional positions:
K: 0.0000 0.0000 0.0000  12 Br 3.63-3.67
K: 0.3333 0.6667 0.6681  12 Br 3.67-3.75
K: 0.6667 0.3333 0.3319  12 Br 3.67-3.75
Ni: 0.3333 0.6667 0.1602  6 Br 2.48-2.56
Ni: 0.6667 0.3333 0.8398  6 Br 2.48-2.56
Ag: 0.0000 0.0000 0.5000  6 Br 2.75
Br: 0.0000 0.5000 0.0000  2 Ni 2.56
Br: 0.1740 0.3481 0.3183  1 Ni 2.48, 1 Ag 2.75
Br: 0.1740 0.8260 0.3183  1 Ni 2.48, 1 Ag 2.75
Br: 0.3481 0.1740 0.6817  1 Ni 2.48, 1 Ag 2.75
Br: 0.5000 0.0000 0.0000  2 Ni 2.56
Br: 0.5000 0.5000 0.0000  2 Ni 2.56
Br: 0.6519 0.8260 0.3183  1 Ni 2.48, 1 Ag 2.75
Br: 0.8260 0.1740 0.6817  1 Ni 2.48, 1 Ag 2.75
Br: 0.8260 0.6519 0.6817  1 Ni 2.48, 1 Ag 2.75

[5]
K3NiAg2Br9 | PBE-GGA | optimized geometry

Properties
**Mass density**: 4.10 Mg/m³
**Space group**: No. 164
**VASP energy**: -2.84 eV/atom
**Size of the total moment**: 0.000 μB/atom
**Density of states at the Fermi level**: 3.9 states/eV per cell
**Crystal system**: trigonal
**ΔE_f (raw)**: -0.848 eV per atom
**V**: 450.11 Å³/cell

Cell: 7.5492 7.5492 9.1199 Å, 90.00 90.00 120.00°
With the nearest neighbours (Å) after each atom.
Fractional positions:
K: 0.0000 0.0000 0.0000  12 Br 3.74-3.77
K: 0.3333 0.6667 0.6827  12 Br 3.62-3.87
K: 0.6667 0.3333 0.3173  12 Br 3.62-3.87
Ni: 0.0000 0.0000 0.5000  6 Br 2.48
Ag: 0.3333 0.6667 0.1774  6 Br 2.71-2.78
Ag: 0.6667 0.3333 0.8226  6 Br 2.71-2.78
Br: 0.0000 0.5000 0.0000  2 Ag 2.71
Br: 0.1555 0.3109 0.3437  1 Ni 2.48, 1 Ag 2.78
Br: 0.1555 0.8445 0.3437  1 Ni 2.48, 1 Ag 2.78
Br: 0.3109 0.1555 0.6563  1 Ni 2.48, 1 Ag 2.78
Br: 0.5000 0.0000 0.0000  2 Ag 2.71
Br: 0.5000 0.5000 0.0000  2 Ag 2.71
Br: 0.6891 0.8445 0.3437  1 Ni 2.48, 1 Ag 2.78
Br: 0.8445 0.1555 0.6563  1 Ni 2.48, 1 Ag 2.78
Br: 0.8445 0.6891 0.6563  1 Ni 2.48, 1 Ag 2.78

[6]
K3NpAg2Br9 | PBE-GGA | optimized geometry

Properties
**Mass density**: 3.95 Mg/m³
**Space group**: No. 164
**VASP energy**: -3.64 eV/atom
**Size of the total moment**: 0.199 μB/atom
**Density of states at the Fermi level**: 6.7 states/eV per cell
**Crystal system**: trigonal
**ΔE_f (raw)**: -1.170 eV per atom
**V**: 542.12 Å³/cell

Cell: 7.9492 7.9492 9.9065 Å, 90.00 90.00 120.00°
With the nearest neighbours (Å) after each atom.
Fractional positions:
K: 0.0000 0.0000 0.0000  12 Br 3.97-4.01
K: 0.3333 0.6667 0.7547  3 Br 3.34
K: 0.6667 0.3333 0.2453  3 Br 3.34
Np: 0.0000 0.0000 0.5000  6 Br 2.78
Ag: 0.3333 0.6667 0.1552  6 Br 2.76-2.94
Ag: 0.6667 0.3333 0.8448  6 Br 2.76-2.94
Br: 0.0000 0.5000 0.0000  2 Ag 2.76
Br: 0.1632 0.3263 0.3350  1 Np 2.78, 1 Ag 2.94
Br: 0.1632 0.8368 0.3350  1 Np 2.78, 1 Ag 2.94
Br: 0.3263 0.1632 0.6650  1 Np 2.78, 1 Ag 2.94
Br: 0.5000 0.0000 0.0000  2 Ag 2.76
Br: 0.5000 0.5000 0.0000  2 Ag 2.76
Br: 0.6737 0.8368 0.3350  1 Np 2.78, 1 Ag 2.94
Br: 0.8368 0.1632 0.6650  1 Np 2.78, 1 Ag 2.94
Br: 0.8368 0.6737 0.6650  1 Np 2.78, 1 Ag 2.94